1.
DFT (PBE) results for a relaxed Na2AgPd crystal.

Cell lengths 7.9183, 7.9183, 5.6027 Å; angles 90.00, 90.00, 90.00 degrees
Last column: nearest neighbours and their distance in Å.
Fractional coordinates of all 16 atoms:
Na  0.2393  0.7500  0.1250  2 Na 2.81, 2 Pd 2.83, 2 Ag 2.94
Na  0.2500  0.2393  0.8750  2 Na 2.81, 2 Pd 2.83, 2 Ag 2.94
Na  0.2500  0.2607  0.3750  2 Na 2.81, 2 Pd 2.83, 2 Ag 2.94
Na  0.2607  0.7500  0.6250  2 Na 2.81, 2 Pd 2.83, 2 Ag 2.94
Na  0.7393  0.2500  0.6250  2 Na 2.81, 2 Pd 2.83, 2 Ag 2.94
Na  0.7500  0.7393  0.3750  2 Na 2.81, 2 Pd 2.83, 2 Ag 2.94
Na  0.7500  0.7607  0.8750  2 Na 2.81, 2 Pd 2.83, 2 Ag 2.94
Na  0.7607  0.2500  0.1250  2 Na 2.81, 2 Pd 2.83, 2 Ag 2.94
Ag  0.0000  0.0000  0.5000  2 Pd 2.80, 4 Na 2.94
Ag  0.0000  0.5000  0.7500  2 Pd 2.80, 4 Na 2.94
Ag  0.5000  0.0000  0.2500  2 Pd 2.80, 4 Na 2.94
Ag  0.5000  0.5000  0.0000  2 Pd 2.80, 4 Na 2.94
Pd  0.0000  0.0000  0.0000  2 Ag 2.80, 4 Na 2.83
Pd  0.0000  0.5000  0.2500  2 Ag 2.80, 4 Na 2.83
Pd  0.5000  0.0000  0.7500  2 Ag 2.80, 4 Na 2.83
Pd  0.5000  0.5000  0.5000  2 Ag 2.80, 4 Na 2.83

Calculated values
electronic total energy: -2.56 eV/atom
space group: No. 122
magnetization: 0.0 μB/cell
V: 21.96 Å³ per atom
formation energy: 11.0 kJ/mol of atoms

2.
DFT (PBE) results for a relaxed KNa3Sr crystal.

Cell lengths 18.4022, 18.4022, 6.1698 Å; angles 90.00, 90.00, 166.83 degrees
Last column: nearest neighbours and their distance in Å.
Fractional coordinates of all 10 atoms:
K  0.2133  0.7867  0.7500  7 Na 4.12-4.42, 6 K 4.22-4.60
K  0.7867  0.2133  0.2500  7 Na 4.12-4.42, 6 K 4.22-4.60
Na  0.3343  0.6657  0.7500  2 Na 3.57
Na  0.3835  0.6165  0.2500  3 Na 3.41-3.57
Na  0.4768  0.5232  0.2500  3 Na 3.41-3.52
Na  0.5232  0.4768  0.7500  3 Na 3.41-3.52
Na  0.6165  0.3835  0.7500  3 Na 3.41-3.57
Na  0.6657  0.3343  0.2500  2 Na 3.57
Sr  0.0711  0.9289  0.2500  12 Na 4.04-4.13, 2 Sr 4.22
Sr  0.9289  0.0711  0.7500  12 Na 4.04-4.13, 2 Sr 4.22

Calculated values
electronic total energy: -1.31 eV/atom
space group: No. 63
magnetization: 0.0 μB/cell
V: 47.59 Å³ per atom
formation energy: 3.6 kJ/mol of atoms

3.
DFT (PBE) results for a relaxed Fe3BRh crystal.

Cell lengths 3.7762, 3.7762, 3.7762 Å; angles 90.00, 90.00, 90.00 degrees
Last column: nearest neighbours and their distance in Å.
Fractional coordinates of all 5 atoms:
Fe  0.0000  0.0000  0.5000  2 B 1.89
Fe  0.0000  0.5000  0.0000  2 B 1.89
Fe  0.5000  0.0000  0.0000  2 B 1.89
B  0.0000  0.0000  0.0000  6 Fe 1.89
Rh  0.5000  0.5000  0.5000  12 Fe 2.67

Calculated values
electronic total energy: -7.63 eV/atom
space group: No. 221
magnetization: 0.0 μB/cell
V: 10.77 Å³ per atom
formation energy: 24.8 kJ/mol of atoms

4.
DFT (PBE) results for a relaxed Mg2CrTeIr crystal.

Cell lengths 5.0937, 5.0937, 4.4607 Å; angles 90.00, 90.00, 90.00 degrees
Last column: nearest neighbours and their distance in Å.
Fractional coordinates of all 5 atoms:
Mg  0.0000  0.5000  0.0000  2 Cr 2.55
Mg  0.5000  0.0000  0.0000  2 Cr 2.55
Cr  0.0000  0.0000  0.0000  2 Ir 2.23
Te  0.5000  0.5000  0.5000  8 Mg 3.39, 4 Ir 3.60
Ir  0.0000  0.0000  0.5000  2 Cr 2.23

Calculated values
electronic total energy: -4.29 eV/atom
space group: No. 123
magnetization: 3.1 μB/cell
V: 23.15 Å³ per atom

5.
DFT (PBE) results for a relaxed Al2Tl crystal.

Cell lengths 3.1340, 3.1340, 13.3505 Å; angles 90.00, 90.00, 90.00 degrees
Last column: nearest neighbours and their distance in Å.
Fractional coordinates of all 6 atoms:
Al  0.0000  0.0000  0.1852  8 Al 2.81-3.13
Al  0.0000  0.0000  0.8148  8 Al 2.81-3.13
Al  0.5000  0.5000  0.3148  8 Al 2.81-3.13
Al  0.5000  0.5000  0.6852  8 Al 2.81-3.13
Tl  0.0000  0.0000  0.5000  4 Tl 3.13, 8 Al 3.32
Tl  0.5000  0.5000  0.0000  4 Tl 3.13, 8 Al 3.32

Calculated values
electronic total energy: -3.05 eV/atom
space group: No. 139
magnetization: 0.0 μB/cell
V: 21.85 Å³ per atom
formation energy: 22.7 kJ/mol of atoms

6.
DFT (PBE) results for a relaxed SmTm4Se6 crystal.

Cell lengths 6.9039, 6.9039, 20.5677 Å; angles 90.00, 90.00, 146.53 degrees
Last column: nearest neighbours and their distance in Å.
Fractional coordinates of all 22 atoms:
Sm  0.1529  0.8471  0.7500  6 Se 2.94-2.99
Sm  0.8471  0.1529  0.2500  6 Se 2.94-2.99
Tm  0.0904  0.9096  0.1258  6 Se 2.83-2.85
Tm  0.0904  0.9096  0.3742  6 Se 2.83-2.85
Tm  0.3598  0.6402  0.0377  6 Se 2.82-2.90
Tm  0.3598  0.6402  0.4623  6 Se 2.82-2.90
Tm  0.6402  0.3598  0.5377  6 Se 2.82-2.90
Tm  0.6402  0.3598  0.9623  6 Se 2.82-2.90
Tm  0.9096  0.0904  0.6258  6 Se 2.83-2.85
Tm  0.9096  0.0904  0.8742  6 Se 2.83-2.85
Se  0.0000  0.0000  0.0000  6 Tm 2.83-2.85
Se  0.0000  0.0000  0.5000  6 Tm 2.83-2.85
Se  0.1836  0.8164  0.2500  2 Tm 2.84, 2 Sm 2.94
Se  0.2678  0.7322  0.5901  5 Tm 2.82-2.90
Se  0.2678  0.7322  0.9099  5 Tm 2.82-2.90
Se  0.4503  0.5497  0.1640  3 Tm 2.83-2.86, 2 Sm 2.99
Se  0.4503  0.5497  0.3360  3 Tm 2.83-2.86, 2 Sm 2.99
Se  0.5497  0.4503  0.6640  3 Tm 2.83-2.86, 2 Sm 2.99
Se  0.5497  0.4503  0.8360  3 Tm 2.83-2.86, 2 Sm 2.99
Se  0.7322  0.2678  0.0901  5 Tm 2.82-2.90
Se  0.7322  0.2678  0.4099  5 Tm 2.82-2.90
Se  0.8164  0.1836  0.7500  2 Tm 2.84, 2 Sm 2.94

Calculated values
electronic total energy: -5.74 eV/atom
space group: No. 63
magnetization: 0.0 μB/cell
V: 24.58 Å³ per atom

7.
DFT (PBE) results for a relaxed FeSn3Se crystal.

Cell lengths 5.4479, 5.4479, 5.4479 Å; angles 90.00, 90.00, 90.00 degrees
Last column: nearest neighbours and their distance in Å.
Fractional coordinates of all 5 atoms:
Fe  0.0000  0.0000  0.0000  12 Sn 3.85
Sn  0.0000  0.5000  0.5000  2 Se 2.72
Sn  0.5000  0.0000  0.5000  2 Se 2.72
Sn  0.5000  0.5000  0.0000  2 Se 2.72
Se  0.5000  0.5000  0.5000  6 Sn 2.72

Calculated values
electronic total energy: -3.53 eV/atom
space group: No. 221
magnetization: 0.2 μB/cell
V: 32.34 Å³ per atom

8.
DFT (PBE) results for a relaxed Sr2TaBO6 crystal.

Cell lengths 5.6217, 5.6237, 5.6258 Å; angles 104.90, 111.75, 111.76 degrees
Last column: nearest neighbours and their distance in Å.
Fractional coordinates of all 10 atoms:
Sr  0.9995  0.2491  0.2504  4 O 2.49
Sr  0.0005  0.7509  0.7496  4 O 2.49
Ta  0.5000  0.5000  0.0000  6 O 1.96-2.14
B  0.5000  0.0000  0.5000  2 O 1.29
O  0.0731  0.3376  0.7368  1 Ta 1.96
O  0.3991  0.2359  0.1631  1 Ta 1.96
O  0.4987  0.1868  0.6868  1 B 1.29
O  0.5013  0.8132  0.3132  1 B 1.29
O  0.6009  0.7641  0.8369  1 Ta 1.96
O  0.9269  0.6624  0.2632  1 Ta 1.96

Calculated values
electronic total energy: -7.79 eV/atom
space group: No. 2
magnetization: 0.0 μB/cell
V: 13.64 Å³ per atom

What is the formula in the third record? Fe3BRh